Computed, not measured: Nb3SiAg at its PBEsol-relaxed geometry at the meta-GGA SCAN level of DFT.

E_tot	-137.010	eV for the cell shown
magnetization	0.0	Bohr magnetons per cell

a b c (Å): 4.6235 4.6235 4.6235
angles (deg): 90.00 90.00 90.00
With the nearest neighbours (Å) after each atom.
Positions (direct):
Nb1 0.0000 0.5000 0.0000  2 Si 2.31
Nb2 0.0000 0.0000 0.5000  2 Si 2.31
Nb3 0.5000 0.0000 0.0000  2 Si 2.31
Si1 0.0000 0.0000 0.0000  6 Nb 2.31
Ag1 0.5000 0.5000 0.5000  12 Nb 3.27

Computed, not measured: ReAu2Br at its PBEsol-relaxed geometry at the meta-GGA SCAN level of DFT.

energy relative to the lowest polymorph listed for this composition	0.552	eV/atom
E_tot	-223.914	eV for the cell shown
magnetization	0.0	Bohr magnetons per cell

a b c (Å): 4.5789 4.5789 4.5789
angles (deg): 60.00 60.00 60.00
With the nearest neighbours (Å) after each atom.
Positions (direct):
Re1 0.2500 0.2500 0.2500  4 Br 2.80, 4 Au 2.80
Au1 0.0000 0.0000 0.0000  4 Au 2.80, 4 Re 2.80
Au2 0.7500 0.7500 0.7500  4 Br 2.80, 4 Au 2.80
Br1 0.5000 0.5000 0.5000  4 Re 2.80, 4 Au 2.80

Computed, not measured: YZrPt2 at its PBEsol-relaxed geometry at the meta-GGA SCAN level of DFT.

E_tot	-204.448	eV for the cell shown
magnetization	0.0	Bohr magnetons per cell

a b c (Å): 3.5031 4.3722 5.4656
angles (deg): 90.00 108.69 90.00
With the nearest neighbours (Å) after each atom.
Positions (direct):
Y1 0.4828 0.5000 0.9656  7 Pt 2.76-2.98
Zr1 0.7645 0.0000 0.5290  7 Pt 2.82-2.94
Pt1 0.0366 0.0000 0.0733  3 Zr 2.82-2.94, 4 Y 2.86, 2 Pt 2.87
Pt2 0.2161 0.5000 0.4321  3 Y 2.76-2.98, 4 Zr 2.85, 2 Pt 2.87

Computed, not measured: LiCa2Zn at its PBEsol-relaxed geometry at the meta-GGA SCAN level of DFT.

E_tot	-35.521	eV for the cell shown
magnetization	0.0	Bohr magnetons per cell

a b c (Å): 4.3964 4.3964 7.4264
angles (deg): 72.78 72.78 60.00
With the nearest neighbours (Å) after each atom.
Positions (direct):
Zn1 0.2082 0.2082 0.3754  3 Li 2.54
Ca1 0.9685 0.9685 0.0945  3 Li 3.20, 3 Zn 3.21
Ca2 0.7813 0.7813 0.6561  3 Zn 3.21, 3 Li 3.21
Li1 0.5420 0.5420 0.3740  3 Zn 2.54

Computed, not measured: Ta4Se9I8 at its PBEsol-relaxed geometry at the meta-GGA SCAN level of DFT.

E_tot	-3008.956	eV for the cell shown
magnetization	0.0	Bohr magnetons per cell

a b c (Å): 13.3362 14.2634 14.4788
angles (deg): 90.00 90.00 90.00
With the nearest neighbours (Å) after each atom.
Positions (direct):
Ta1 0.2667 0.3141 0.5037  5 Se 2.57-2.66, 2 I 2.72-2.76
Ta2 0.3818 0.8180 0.2013  5 Se 2.58-2.66, 2 I 2.73-2.74
Ta3 0.2667 0.8141 0.9963  5 Se 2.57-2.66, 2 I 2.72-2.76
Ta4 0.8818 0.1820 0.7987  5 Se 2.58-2.66, 2 I 2.73-2.74
Ta5 0.8818 0.6820 0.7013  5 Se 2.58-2.66, 2 I 2.73-2.74
Ta6 0.0478 0.7890 0.1029  5 Se 2.57-2.66, 2 I 2.73-2.75
Ta7 0.1619 0.7954 0.3025  5 Se 2.56-2.64, 2 I 2.77-2.81
Ta8 0.6619 0.7046 0.8025  5 Se 2.56-2.64, 2 I 2.77-2.81
Ta9 0.1619 0.2954 0.1975  5 Se 2.56-2.64, 2 I 2.77-2.81
Ta10 0.7667 0.1859 0.0037  5 Se 2.57-2.66, 2 I 2.72-2.76
Ta11 0.0478 0.2890 0.3971  5 Se 2.57-2.66, 2 I 2.73-2.75
Ta12 0.3818 0.3180 0.2987  5 Se 2.58-2.66, 2 I 2.73-2.74
Ta13 0.6619 0.2046 0.6975  5 Se 2.56-2.64, 2 I 2.77-2.81
Ta14 0.5478 0.2110 0.8971  5 Se 2.57-2.66, 2 I 2.73-2.75
Ta15 0.7667 0.6859 0.4963  5 Se 2.57-2.66, 2 I 2.72-2.76
Ta16 0.5478 0.7110 0.6029  5 Se 2.57-2.66, 2 I 2.73-2.75
Se1 0.5879 0.7141 0.4228  1 Se 2.37, 1 Ta 2.64
Se2 0.0879 0.7859 0.9228  1 Se 2.37, 1 Ta 2.64
Se3 0.9695 0.7680 0.2690  1 Se 2.38, 2 Ta 2.64
Se4 0.1124 0.4289 0.4973  1 Se 2.37, 2 Ta 2.61-2.63
Se5 0.2825 0.9385 0.3029  1 Se 2.37, 2 Ta 2.60-2.62
Se6 0.3577 0.9520 0.0815  1 Se 2.40, 2 Ta 2.60-2.62
Se7 0.3409 0.8023 0.3803  1 Se 2.37, 2 Ta 2.64-2.66
Se8 0.8409 0.6977 0.8803  1 Se 2.37, 2 Ta 2.64-2.66
Se9 0.2231 0.7295 0.1480  4 Ta 2.56-2.58
Se10 0.9695 0.2680 0.2310  1 Se 2.38, 2 Ta 2.64
Se11 0.7231 0.2705 0.8520  4 Ta 2.56-2.58
Se12 0.8409 0.1977 0.6197  1 Se 2.37, 2 Ta 2.64-2.66
Se13 0.3577 0.4520 0.4185  1 Se 2.40, 2 Ta 2.60-2.62
Se14 0.7825 0.0615 0.6971  1 Se 2.37, 2 Ta 2.60-2.62
Se15 0.5391 0.5827 0.7332  1 Se 2.38, 2 Ta 2.59-2.63
Se16 0.4695 0.7320 0.7690  1 Se 2.38, 2 Ta 2.64
Se17 0.7825 0.5615 0.8029  1 Se 2.37, 2 Ta 2.60-2.62
Se18 0.8577 0.0480 0.9185  1 Se 2.40, 2 Ta 2.60-2.62
Se19 0.8577 0.5480 0.5815  1 Se 2.40, 2 Ta 2.60-2.62
Se20 0.4620 0.3239 0.4672  1 Se 2.40, 2 Ta 2.66
Se21 0.9620 0.1761 0.9672  1 Se 2.40, 2 Ta 2.66
Se22 0.0879 0.2859 0.5772  1 Se 2.37, 1 Ta 2.64
Se23 0.0391 0.4173 0.2668  1 Se 2.38, 2 Ta 2.59-2.63
Se24 0.5391 0.0827 0.7668  1 Se 2.38, 2 Ta 2.59-2.63
Se25 0.9620 0.6761 0.5328  1 Se 2.40, 2 Ta 2.66
Se26 0.4620 0.8239 0.0328  1 Se 2.40, 2 Ta 2.66
Se27 0.6124 0.0711 0.9973  1 Se 2.37, 2 Ta 2.61-2.63
Se28 0.1124 0.9289 0.0027  1 Se 2.37, 2 Ta 2.61-2.63
Se29 0.2231 0.2295 0.3520  4 Ta 2.56-2.58
Se30 0.6124 0.5711 0.5027  1 Se 2.37, 2 Ta 2.61-2.63
Se31 0.0391 0.9173 0.2332  1 Se 2.38, 2 Ta 2.59-2.63
Se32 0.5879 0.2141 0.0772  1 Se 2.37, 1 Ta 2.64
Se33 0.7231 0.7705 0.6480  4 Ta 2.56-2.58
Se34 0.4695 0.2320 0.7310  1 Se 2.38, 2 Ta 2.64
Se35 0.2825 0.4385 0.1971  1 Se 2.37, 2 Ta 2.60-2.62
Se36 0.3409 0.3023 0.1197  1 Se 2.37, 2 Ta 2.64-2.66
I1 0.8558 0.3410 0.4437  1 Ta 2.75
I2 0.0588 0.6056 0.7607  1 Ta 2.74
I3 0.6671 0.8964 0.8470  1 Ta 2.81
I4 0.3015 0.6356 0.9390  1 Ta 2.72
I5 0.1010 0.3441 0.0213  1 Ta 2.77
I6 0.8157 0.0996 0.1680  1 Ta 2.76
I7 0.1671 0.1036 0.1530  1 Ta 2.81
I8 0.5588 0.8944 0.2607  1 Ta 2.74
I9 0.0110 0.1019 0.4205  1 Ta 2.73
I10 0.8157 0.5996 0.3320  1 Ta 2.76
I11 0.5110 0.8981 0.5795  1 Ta 2.73
I12 0.6010 0.6559 0.9787  1 Ta 2.77
I13 0.5588 0.3944 0.2393  1 Ta 2.74
I14 0.9528 0.8609 0.7112  1 Ta 2.73
I15 0.6671 0.3964 0.6530  1 Ta 2.81
I16 0.8015 0.8644 0.4390  1 Ta 2.72
I17 0.3558 0.6590 0.5563  1 Ta 2.75
I18 0.5110 0.3981 0.9205  1 Ta 2.73
I19 0.3157 0.4004 0.6680  1 Ta 2.76
I20 0.8015 0.3644 0.0610  1 Ta 2.72
I21 0.3157 0.9004 0.8320  1 Ta 2.76
I22 0.3558 0.1590 0.9437  1 Ta 2.75
I23 0.4528 0.6391 0.2112  1 Ta 2.73
I24 0.0588 0.1056 0.7393  1 Ta 2.74
I25 0.1010 0.8441 0.4787  1 Ta 2.77
I26 0.6010 0.1559 0.5213  1 Ta 2.77
I27 0.4528 0.1391 0.2888  1 Ta 2.73
I28 0.3015 0.1356 0.5610  1 Ta 2.72
I29 0.9528 0.3609 0.7888  1 Ta 2.73
I30 0.8558 0.8410 0.0563  1 Ta 2.75
I31 0.0110 0.6019 0.0795  1 Ta 2.73
I32 0.1671 0.6036 0.3470  1 Ta 2.81

Computed, not measured: Hg2WBr at its PBEsol-relaxed geometry at the meta-GGA SCAN level of DFT.

energy relative to the lowest polymorph listed for this composition	0.000	eV/atom
E_tot	-222.308	eV for the cell shown
magnetization	0.0	Bohr magnetons per cell

a b c (Å): 3.1314 3.1314 9.3072
angles (deg): 90.00 90.00 117.13
With the nearest neighbours (Å) after each atom.
Positions (direct):
Br1 0.5000 0.5000 0.0000  4 Hg 2.91, 4 Br 3.13
Hg1 0.0000 0.0000 0.2588  2 W 2.78, 2 Br 2.91
Hg2 0.0000 0.0000 0.7412  2 W 2.78, 2 Br 2.91
W1 0.5000 0.5000 0.5000  4 Hg 2.78

Computed, not measured: AlFe2Si at its PBEsol-relaxed geometry at the meta-GGA SCAN level of DFT.

E_tot	-55.769	eV for the cell shown
magnetization	0.3	Bohr magnetons per cell

a b c (Å): 2.7762 2.7762 5.5782
angles (deg): 90.00 90.00 90.00
With the nearest neighbours (Å) after each atom.
Positions (direct):
Si1 0.5000 0.5000 0.5000  8 Fe 2.36
Fe1 0.0000 0.0000 0.2658  4 Si 2.36, 4 Al 2.46, 1 Fe 2.61
Fe2 0.0000 0.0000 0.7342  4 Si 2.36, 4 Al 2.46, 1 Fe 2.61
Al1 0.5000 0.5000 0.0000  8 Fe 2.46

Computed, not measured: InSiAu2 at its PBEsol-relaxed geometry at the meta-GGA SCAN level of DFT.

E_tot	-181.069	eV for the cell shown
magnetization	0.0	Bohr magnetons per cell

a b c (Å): 3.6881 4.6095 5.1909
angles (deg): 116.36 110.81 90.00
With the nearest neighbours (Å) after each atom.
Positions (direct):
Au1 0.0185 0.0185 0.0369  2 Si 2.58, 2 Au 2.88
Au2 0.2599 0.7599 0.5197  4 Au 2.88-3.09, 4 In 2.94-3.04, 4 Si 2.96
In1 0.4915 0.4915 0.9829  4 Si 2.89-3.08, 8 Au 2.94-3.04
Si1 0.7302 0.2302 0.4605  2 Au 2.58

Computed, not measured: BeMoIr2 at its PBEsol-relaxed geometry at the meta-GGA SCAN level of DFT.

E_tot	-182.578	eV for the cell shown
magnetization	0.0	Bohr magnetons per cell

a b c (Å): 2.8192 4.2945 4.9655
angles (deg): 115.62 106.49 90.00
With the nearest neighbours (Å) after each atom.
Positions (direct):
Be1 0.2596 0.7596 0.5193  2 Ir 2.26, 2 Mo 2.44
Mo1 0.5247 0.5247 0.0493  2 Be 2.44, 6 Ir 2.62-2.74
Ir1 0.9669 0.9669 0.9338  2 Be 2.26
Ir2 0.7488 0.2488 0.4976  4 Be 2.57, 4 Mo 2.74-2.87, 6 Ir 2.78-2.84

Computed, not measured: YCd2Ag at its PBEsol-relaxed geometry at the meta-GGA SCAN level of DFT.

E_tot	-121.086	eV for the cell shown
magnetization	0.2	Bohr magnetons per cell

a b c (Å): 3.4420 3.4420 7.1747
angles (deg): 90.00 90.00 90.00
With the nearest neighbours (Å) after each atom.
Positions (direct):
Y1 0.5000 0.5000 0.0000  8 Cd 3.18, 4 Y 3.44
Ag1 0.5000 0.5000 0.5000  8 Cd 2.88
Cd1 0.0000 0.0000 0.7153  4 Ag 2.88, 1 Cd 3.09, 4 Y 3.18
Cd2 0.0000 0.0000 0.2847  4 Ag 2.88, 1 Cd 3.09, 4 Y 3.18

Computed, not measured: KTlCl2 at its PBEsol-relaxed geometry at the meta-GGA SCAN level of DFT.

energy relative to the lowest polymorph listed for this composition	0.026	eV/atom
E_tot	-103.057	eV for the cell shown
magnetization	0.0	Bohr magnetons per cell

a b c (Å): 5.3031 5.3031 5.3031
angles (deg): 60.00 60.00 60.00
With the nearest neighbours (Å) after each atom.
Positions (direct):
Tl1 0.5000 0.5000 0.5000  8 Cl 3.25
K1 0.0000 0.0000 0.0000  8 Cl 3.25
Cl1 0.7500 0.7500 0.7500  4 K 3.25, 4 Tl 3.25
Cl2 0.2500 0.2500 0.2500  4 Tl 3.25, 4 K 3.25

Computed, not measured: BeRe2HgSb at its PBEsol-relaxed geometry at the meta-GGA SCAN level of DFT.

E_tot	-246.097	eV for the cell shown
magnetization	0.0	Bohr magnetons per cell

a b c (Å): 4.2504 4.3802 4.3802
angles (deg): 90.00 90.00 90.00
With the nearest neighbours (Å) after each atom.
Positions (direct):
Re1 0.0000 0.0000 0.5000  2 Be 2.19
Re2 0.0000 0.5000 0.0000  2 Be 2.19
Be1 0.0000 0.0000 0.0000  2 Hg 2.13, 4 Re 2.19
Hg1 0.5000 0.0000 0.0000  2 Be 2.13
Sb1 0.5000 0.5000 0.5000  8 Re 3.05, 4 Hg 3.10